Density functional theory data (PBE) for an optimized crystal structure of Tm3Al3Zn2.

Geometry as extended XYZ:
```
16
Lattice="2.1980 -5.2401 0.0000 2.1980 5.2401 0.0000 0.0000 0.0000 14.5678" Properties=species:S:1:pos:R:3 pbc="T T T"
Tm 2.1980 4.3297 8.9052
Tm 2.1980 4.3297 12.9464
Tm 2.1980 1.4765 10.9258
Tm 2.1980 -1.4765 3.6419
Tm 2.1980 -4.3297 1.6214
Tm 2.1980 -4.3297 5.6625
Al 2.1980 1.5838 3.6419
Al 2.1980 1.2089 7.8555
Al 2.1980 1.2089 13.9962
Al 2.1980 -1.2089 0.5716
Al 2.1980 -1.2089 6.7123
Al 2.1980 -1.5838 10.9258
Zn 2.1980 3.0686 1.4846
Zn 2.1980 3.0686 5.7993
Zn 2.1980 -3.0686 8.7685
Zn 2.1980 -3.0686 13.0832
```

Properties
Energy of formation from the pure elements = -40 kJ per mole of atoms



Density functional theory data (PBE) for an optimized crystal structure of VMo4.

Geometry as extended XYZ:
```
10
Lattice="4.9294 0.0000 0.0000 0.0000 7.6330 0.0000 -1.4268 0.0000 4.2685" Properties=species:S:1:pos:R:3 pbc="T T T"
V -0.3567 0.8631 1.0671
V -1.0701 6.7700 3.2014
Mo 0.6731 3.1356 1.8591
Mo -0.0403 4.4975 3.9934
Mo 0.3209 1.1565 3.9296
Mo 1.0343 6.4766 1.7953
Mo 2.4683 1.1565 2.4732
Mo 3.1817 6.4766 0.3389
Mo 3.5429 3.1356 0.2752
Mo 2.8295 4.4975 2.4094
```

Properties
Energy of formation from the pure elements = 30 kJ per mole of atoms
Relative energy among the computed polymorphs = 406 meV per atom



Density functional theory data (PBE) for an optimized crystal structure of NdSb3Se6.

Geometry as extended XYZ:
```
20
Lattice="12.2100 0.0000 0.0000 0.0000 4.0684 0.0000 -3.4302 0.0000 11.9059" Properties=species:S:1:pos:R:3 pbc="T T T"
Nd 2.1988 1.0171 0.4104
Nd 6.5809 3.0513 11.4955
Sb -0.5403 3.0513 3.4992
Sb 2.6536 1.0171 5.1568
Sb 1.9510 3.0513 10.1164
Sb 6.8288 1.0171 1.7895
Sb 6.1262 3.0513 6.7491
Sb 9.3201 1.0171 8.4067
Se -2.6794 3.0513 10.6169
Se -0.0555 1.0171 5.4022
Se 2.0017 3.0513 2.7379
Se 0.2520 1.0171 9.5223
Se 4.5198 3.0513 0.7236
Se 2.9132 3.0513 6.9534
Se 5.8665 1.0171 4.9525
Se 4.2600 1.0171 11.1823
Se 8.5277 3.0513 2.3836
Se 6.7781 1.0171 9.1680
Se 8.8352 3.0513 6.5037
Se 11.4592 1.0171 1.2891
```

Properties
E_form (uncorrected) = -0.677 eV/atom



Number 3 is which compound? NdSb3Se6